Computed, not measured: PmNbCo2 after structural relaxation at the PBE-GGA level of DFT.

a b c (Å): 3.128 3.128 6.997
angles (deg): 90.00 90.00 90.00
Sites, in units of the cell vectors:
1 Pm 0.000 0.000 0.000
2 Nb 0.000 0.000 0.500
3 Co 0.500 0.500 0.308
4 Co 0.500 0.500 0.692

## Properties
For the total magnetization, the calculation gives 0.00 μB per cell. The value obtained for the formation energy is -12 kJ/mol of formula units. The calculation puts the density at 8.6 g/cm3. Its symmetry is P4/mmm (123). The calculation puts the energy at -29.16 eV for the cell shown.